A plane-wave DFT calculation with PBE was carried out for a geometry-optimized Cu2SiSb structure.

```
Cu2SiSb
1.0
5.576 -0.034 -0.021
4.160 3.713 -0.021
4.160 1.572 3.364
Sb Si Cu
1 1 2
Direct
0.511 0.511 0.511
0.699 0.699 0.699
0.281 0.281 0.281
0.009 0.009 0.009
```

Computed properties:
- space group = R3m (160)
- uncorrected formation energy (eV/atom) = 0.2168
- calculated density (Mg/m³) = 6.524
- energy relative to the lowest polymorph listed for this composition (meV per atom) = 66.1
- size of the total moment (μB/cell) = 0.0
- DFT total energy (eV per atom) = -4.2177

***

A plane-wave DFT calculation with PBE was carried out for a geometry-optimized CuSiSb2 structure.

```
CuSiSb2
1.0
-0.375 1.569 -3.463
-2.772 -0.929 -0.121
-5.904 5.589 3.172
Cu Sb Si
1 2 1
Direct
0.500 0.750 0.750
0.000 0.920 0.516
0.000 0.580 0.984
0.500 0.250 0.250
```

Computed properties:
- space group = P2/m (10)
- uncorrected formation energy (eV/atom) = 0.3128
- calculated density (Mg/m³) = 6.295
- size of the total moment (μB/cell) = 0.0
- DFT total energy (eV per atom) = -4.1282

***

A plane-wave DFT calculation with PBE was carried out for a geometry-optimized Cu2SiSb structure.

```
Cu2SiSb
1.0
4.145 0.000 0.000
0.000 4.147 0.000
0.000 0.000 3.838
Cu Sb Si
2 1 1
Direct
0.500 0.500 0.000
0.000 0.000 0.000
0.500 0.000 0.500
0.000 0.500 0.500
```

Computed properties:
- space group = P4/mmm (123)
- uncorrected formation energy (eV/atom) = 0.3327
- calculated density (Mg/m³) = 6.971
- energy relative to the lowest polymorph listed for this composition (meV per atom) = 182.1
- size of the total moment (μB/cell) = 0.0
- DFT total energy (eV per atom) = -4.1017

***

A plane-wave DFT calculation with PBE was carried out for a geometry-optimized Cu3SiSb structure.

```
Cu3SiSb
1.0
4.481 0.000 0.000
0.000 4.481 0.000
0.000 0.000 4.481
Cu Sb Si
3 1 1
Direct
0.000 0.000 0.500
0.500 0.000 0.000
0.000 0.500 0.000
0.500 0.500 0.500
0.000 0.000 0.000
```

Computed properties:
- space group = Pm-3m (221)
- uncorrected formation energy (eV/atom) = 0.4497
- calculated density (Mg/m³) = 6.286
- energy relative to the lowest polymorph listed for this composition (meV per atom) = 0.0
- size of the total moment (μB/cell) = 0.0
- DFT total energy (eV per atom) = -3.9171

***

A plane-wave DFT calculation with PBE was carried out for a geometry-optimized Cu2SiSb structure.

```
Cu2SiSb
1.0
7.773 -0.036 -0.021
7.125 3.108 -0.021
7.125 1.469 2.739
Si Cu Sb
1 2 1
Direct
0.750 0.750 0.750
0.010 0.010 0.010
0.490 0.490 0.490
0.250 0.250 0.250
```

Computed properties:
- space group = R-3m (166)
- uncorrected formation energy (eV/atom) = 0.2480
- calculated density (Mg/m³) = 6.828
- energy relative to the lowest polymorph listed for this composition (meV per atom) = 97.4
- size of the total moment (μB/cell) = 0.0
- DFT total energy (eV per atom) = -4.1864

***

A plane-wave DFT calculation with PBE was carried out for a geometry-optimized CuSiSb2 structure.

```
CuSiSb2
1.0
4.726 0.000 0.000
0.000 4.259 0.002
0.000 0.794 4.185
Sb Cu Si
2 1 1
Direct
0.500 0.304 0.304
0.000 0.942 0.942
0.500 0.724 0.725
0.000 0.529 0.529
```

Computed properties:
- space group = Amm2 (38)
- uncorrected formation energy (eV/atom) = 0.2033
- calculated density (Mg/m³) = 6.606
- size of the total moment (μB/cell) = 0.0
- DFT total energy (eV per atom) = -4.2377

***

A plane-wave DFT calculation with PBE was carried out for a geometry-optimized Cu2SiSb structure.

```
Cu2SiSb
1.0
4.635 -0.028 0.000
-1.264 4.460 0.000
0.000 0.000 3.237
Cu Si Sb
2 1 1
Direct
0.500 0.500 0.000
0.000 0.000 0.000
0.000 0.500 0.500
0.500 0.000 0.500
```

Computed properties:
- space group = Cmmm (65)
- uncorrected formation energy (eV/atom) = 0.3564
- calculated density (Mg/m³) = 6.884
- energy relative to the lowest polymorph listed for this composition (meV per atom) = 205.8
- size of the total moment (μB/cell) = 0.0
- DFT total energy (eV per atom) = -4.0780

***

A plane-wave DFT calculation with PBE was carried out for a geometry-optimized CuSiSb2 structure.

```
CuSiSb2
1.0
5.103 -0.048 -0.018
0.637 5.064 0.018
-2.270 -3.194 3.269
Sb Cu Si
2 1 1
Direct
0.521 0.521 0.000
0.979 0.979 0.000
0.750 0.250 0.500
0.250 0.750 0.500
```

Computed properties:
- space group = Immm (71)
- uncorrected formation energy (eV/atom) = 0.4370
- calculated density (Mg/m³) = 6.570
- size of the total moment (μB/cell) = 0.0
- DFT total energy (eV per atom) = -4.0040

***

| no. | volume (Å³/f.u.) |
| --- | --- |
| 1 | 70 |
| 2 | 88 |
| 3 | 66 |
| 4 | 90 |
| 5 | 67 |
| 6 | 84 |
| 7 | 67 |
| 8 | 85 |